Si2TcRu: optimized geometry, PBE.

```
Si2TcRu
1.0
-1.6609 -2.3941 1.0984
1.7321 -0.0145 2.5877
-3.5366 3.5487 2.3871
Ru Si Tc
1 2 1
direct
0.5000 0.5000 0.8002
0.5000 0.5000 0.2570
0.0000 0.0000 0.9977
0.0000 0.0000 0.4451
```

Its density of states at the Fermi level is 2.51 states/eV/cell. The value obtained for the energy is -32.3 eV/cell. For the uncorrected formation energy, the calculation gives -0.45 eV per atom.